A plane-wave DFT calculation with PBE-GGA was carried out for TcSn2TeSe after structural relaxation.

Cell and atoms, written as extended XYZ:
```
5
Lattice="5.877 0.000 0.000 0.000 5.008 0.000 0.000 0.000 5.877" Properties=species:S:1:pos:R:3 pbc="T T T"
Sn 0.000 0.000 2.938
Sn 2.938 0.000 0.000
Se 2.938 2.504 2.938
Tc 0.000 2.504 0.000
Te 0.000 0.000 0.000
```

- SG: P4/mmm (123)
- Formation energy (no corrections): 1.042 eV/atom
- ρ: 5203 kg/m3

---

A plane-wave DFT calculation with PBE-GGA was carried out for Nd2As3Au2 after structural relaxation.

Cell and atoms, written as extended XYZ:
```
14
Lattice="0.017 2.761 3.398 2.268 -4.472 6.444 9.342 2.961 0.368" Properties=species:S:1:pos:R:3 pbc="T T T"
Au 7.548 0.587 5.127
Au 4.764 -0.159 8.568
Au 4.079 0.663 5.083
Au 6.863 1.409 1.642
As 8.866 2.466 6.414
As 1.241 2.533 3.577
As 6.046 -1.035 6.452
As 2.761 -1.217 3.796
As 5.580 2.285 3.757
As 10.386 -1.284 6.632
Nd 2.335 -1.443 6.803
Nd 3.521 1.113 1.899
Nd 8.106 0.137 8.310
Nd 9.291 2.693 3.407
```

- SG: C2/m (12)
- ρ: 9176 kg/m3
- E_tot: -5.13 eV per atom

---

A plane-wave DFT calculation with PBE-GGA was carried out for KBe2Al after structural relaxation.

Cell and atoms, written as extended XYZ:
```
8
Lattice="-1.410 -3.441 0.807 2.488 -3.994 -3.658 6.826 -1.988 3.462" Properties=species:S:1:pos:R:3 pbc="T T T"
Al 7.622 -8.261 1.122
Al 2.301 -4.390 -0.675
K 5.729 -5.287 1.517
K 3.604 -2.195 1.972
Be 3.231 -5.243 -2.664
Be 0.657 -3.386 0.712
Be 1.852 -2.097 -0.658
Be 2.673 -6.712 -0.952
```

- SG: P1 (1)
- ρ: 1710 kg/m3
- E_tot: -2.82 eV per atom